# La2Tb5HoSc

A relaxed structure of La2Tb5HoSc (PBE, Alexandria via LeMat-Bulk).

Output
- formation energy from the elements (eV/f.u.) = 1.348

Unit cell a=5.5887 b=10.4488 c=10.4460 alpha=90.00 beta=90.00 gamma=105.51
Closest atoms and distances in Å follow each position.
Positions (direct):
La: 0.8856 0.7712 0.8131  8 Tb 3.23-3.53, 1 Sc 3.54
La: 0.1157 0.2313 0.7357  1 Sc 3.33, 7 Tb 3.49-3.67, 2 Ho 3.70
La: 0.1144 0.2288 0.3131  8 Tb 3.23-3.53, 1 Sc 3.54
La: 0.8843 0.7687 0.2357  1 Sc 3.33, 7 Tb 3.49-3.67, 2 Ho 3.70
Tb: 0.3730 0.7461 0.0187  4 La 3.53-3.61, 1 Sc 3.55, 4 Tb 3.66-3.72
Tb: 0.7253 0.4507 0.8198  1 Ho 3.05, 1 La 3.23, 2 Tb 3.37
Tb: 0.4848 0.9696 0.7425  2 Ho 3.19-3.31, 2 La 3.51
Tb: 0.2959 0.5918 0.7009  1 Ho 3.33, 3 Tb 3.37-3.66, 2 Sc 3.41, 3 La 3.53-3.65
Tb: 0.9851 0.9703 0.5160  2 Ho 3.26, 3 La 3.36-3.56
Tb: 0.6270 0.2539 0.5187  4 La 3.53-3.61, 1 Sc 3.55, 4 Tb 3.66-3.72
Tb: 0.2747 0.5493 0.3198  1 Ho 3.05, 1 La 3.23, 2 Tb 3.37
Tb: 0.5152 0.0304 0.2425  2 Ho 3.19-3.31, 2 La 3.51
Tb: 0.7041 0.4082 0.2009  1 Ho 3.33, 3 Tb 3.37-3.66, 2 Sc 3.41, 3 La 3.53-3.65
Tb: 0.0149 0.0297 0.0160  2 Ho 3.26, 3 La 3.36-3.56
Ho: 0.5937 0.1874 0.9637  6 Tb 3.05-3.33
Ho: 0.4063 0.8126 0.4637  6 Tb 3.05-3.33
Sc: 0.8033 0.6066 0.5136  2 La 3.33-3.54, 7 Tb 3.41-3.66, 2 Ho 3.52
Sc: 0.1967 0.3934 0.0136  2 La 3.33-3.54, 7 Tb 3.41-3.66, 2 Ho 3.52